# 1
NdCo2H6 (GGA-PBE, optimized geometry); VASP energy = -4.676 eV/atom; symmetry = P6/mmm, No. 191
1.0
4.4186 0.0000 0.0000
-2.2093 3.8266 0.0000
0.0000 0.0000 4.2412
Nd Co H
1 2 6
Direct
0.0000 0.0000 0.0000 Nd
0.3333 0.6667 0.5000 Co
0.6667 0.3333 0.5000 Co
0.0000 0.5000 0.2557 H
0.0000 0.5000 0.7443 H
0.5000 0.0000 0.2557 H
0.5000 0.0000 0.7443 H
0.5000 0.5000 0.2557 H
0.5000 0.5000 0.7443 H


# 2
TlCd2Pb2 (GGA-PBE, optimized geometry); VASP energy = -2.273 eV/atom; symmetry = P2/m, No. 10; calculated formation energy = 49 meV/atom
1.0
5.3829 0.0000 0.0000
0.0000 3.3334 0.0000
-2.1606 0.0000 7.9078
Tl Cd Pb
1 2 2
Direct
0.0000 0.0000 0.0000 Tl
0.1960 0.0000 0.4007 Cd
0.8040 0.0000 0.5993 Cd
0.3943 0.5000 0.7691 Pb
0.6057 0.5000 0.2309 Pb


# 3
CeNdMgRu (GGA-PBE, optimized geometry); VASP energy = -5.435 eV/atom; symmetry = F-43m, No. 216; calculated formation energy = -42 meV/atom
1.0
0.0000 3.6275 3.6275
3.6275 0.0000 3.6275
3.6275 3.6275 0.0000
Ce Nd Mg Ru
1 1 1 1
Direct
0.0000 0.0000 0.0000 Ce
0.5000 0.5000 0.5000 Nd
0.7500 0.7500 0.7500 Mg
0.2500 0.2500 0.2500 Ru


# 4
Ba3TiAu (GGA-PBE, optimized geometry); VASP energy = -2.946 eV/atom; symmetry = Pm-3m, No. 221; calculated formation energy = 442 meV/atom
1.0
6.2786 0.0000 0.0000
0.0000 6.2786 0.0000
0.0000 0.0000 6.2786
Ba Ti Au
3 1 1
Direct
0.0000 0.0000 0.5000 Ba
0.0000 0.5000 0.0000 Ba
0.5000 0.0000 0.0000 Ba
0.5000 0.5000 0.5000 Ti
0.0000 0.0000 0.0000 Au


# 5
BeCrNiRh (GGA-PBE, optimized geometry); VASP energy = -6.780 eV/atom; symmetry = F-43m, No. 216; calculated formation energy = -159 meV/atom
1.0
0.0000 2.8544 2.8544
2.8544 0.0000 2.8544
2.8544 2.8544 0.0000
Be Cr Ni Rh
1 1 1 1
Direct
0.0000 0.0000 0.0000 Be
0.5000 0.5000 0.5000 Cr
0.2500 0.2500 0.2500 Ni
0.7500 0.7500 0.7500 Rh


# 6
CsBi4Au4 (GGA-PBE, optimized geometry); VASP energy = -3.450 eV/atom; symmetry = P4_2/nmc, No. 137; calculated formation energy = -174 meV/atom
1.0
7.2971 0.0000 0.0000
0.0000 7.2971 0.0000
0.0000 0.0000 10.0243
Cs Bi Au
2 8 8
Direct
0.2500 0.7500 0.2500 Cs
0.7500 0.2500 0.7500 Cs
0.0072 0.2500 0.1116 Bi
0.2500 0.0072 0.6116 Bi
0.2500 0.4928 0.6116 Bi
0.4928 0.2500 0.1116 Bi
0.5072 0.7500 0.8884 Bi
0.7500 0.5072 0.3884 Bi
0.7500 0.9928 0.3884 Bi
0.9928 0.7500 0.8884 Bi
0.0570 0.2500 0.4026 Au
0.2500 0.0570 0.9026 Au
0.2500 0.4430 0.9026 Au
0.4430 0.2500 0.4026 Au
0.5570 0.7500 0.5974 Au
0.7500 0.5570 0.0974 Au
0.7500 0.9430 0.0974 Au
0.9430 0.7500 0.5974 Au


# 7
RbGe3As (GGA-PBE, optimized geometry); VASP energy = -1.998 eV/atom; symmetry = Pm-3m, No. 221; calculated formation energy = 1895 meV/atom
1.0
5.5815 0.0000 0.0000
0.0000 5.5815 0.0000
0.0000 0.0000 5.5815
Rb Ge As
1 3 1
Direct
0.0000 0.0000 0.0000 Rb
0.0000 0.0000 0.5000 Ge
0.0000 0.5000 0.0000 Ge
0.5000 0.0000 0.0000 Ge
0.5000 0.5000 0.5000 As


# 8
KBa2SnIr (GGA-PBE, optimized geometry); VASP energy = -3.762 eV/atom; symmetry = P4/mmm, No. 123; calculated formation energy = -201 meV/atom
1.0
6.2518 0.0000 0.0000
0.0000 6.2518 0.0000
0.0000 0.0000 5.2310
K Ba Sn Ir
1 2 1 1
Direct
0.0000 0.0000 0.0000 K
0.0000 0.5000 0.5000 Ba
0.5000 0.0000 0.5000 Ba
0.5000 0.5000 0.0000 Sn
0.5000 0.5000 0.5000 Ir


# 9
RbVTc3 (GGA-PBE, optimized geometry); VASP energy = -4.982 eV/atom; symmetry = Pm-3m, No. 221; calculated formation energy = 3254 meV/atom
1.0
4.6261 0.0000 0.0000
0.0000 4.6261 0.0000
0.0000 0.0000 4.6261
Rb V Tc
1 1 3
Direct
0.0000 0.0000 0.0000 Rb
0.5000 0.5000 0.5000 V
0.0000 0.0000 0.5000 Tc
0.0000 0.5000 0.0000 Tc
0.5000 0.0000 0.0000 Tc


# 10
Ag5BiCl12 (GGA-PBE, optimized geometry); formation energy without anion corrections = -0.47 eV/atom; VASP energy = -2.713 eV/atom; symmetry = P-1, No. 2
1.0
6.7427 0.0000 0.0000
2.5867 6.2365 0.0000
2.5090 -0.5534 12.3872
Ag Bi Cl
5 1 12
Direct
0.0000 0.0000 0.0000 Ag
0.1705 0.6700 0.5001 Ag
0.3339 0.3336 0.9989 Ag
0.6661 0.6664 0.0011 Ag
0.8295 0.3300 0.4999 Ag
0.5000 0.0000 0.5000 Bi
0.0093 0.2898 0.1138 Cl
0.1255 0.3424 0.6024 Cl
0.2405 0.9500 0.3726 Cl
0.3261 0.0441 0.8849 Cl
0.3393 0.6223 0.1141 Cl
0.4093 0.7010 0.6278 Cl
0.5907 0.2990 0.3722 Cl
0.6607 0.3777 0.8859 Cl
0.6739 0.9559 0.1151 Cl
0.7595 0.0500 0.6274 Cl
0.8745 0.6576 0.3976 Cl
0.9907 0.7102 0.8862 Cl


# 11
La2Zr2Ag (GGA-PBE, optimized geometry); VASP energy = -5.777 eV/atom; symmetry = P4/mbm, No. 127; calculated formation energy = 183 meV/atom
1.0
7.4122 0.0000 0.0000
0.0000 7.4122 0.0000
0.0000 0.0000 5.1393
La Zr Ag
4 4 2
Direct
0.1676 0.3324 0.0000 La
0.3324 0.8324 0.0000 La
0.6676 0.1676 0.0000 La
0.8324 0.6676 0.0000 La
0.1397 0.6397 0.5000 Zr
0.3603 0.1397 0.5000 Zr
0.6397 0.8603 0.5000 Zr
0.8603 0.3603 0.5000 Zr
0.0000 0.0000 0.5000 Ag
0.5000 0.5000 0.5000 Ag


# 12
TcPbW2 (GGA-PBE, optimized geometry); VASP energy = -9.244 eV/atom; symmetry = P2/m, No. 10; calculated formation energy = 752 meV/atom
1.0
4.4659 0.0000 0.0000
0.0000 3.2815 0.0000
-0.0166 0.0000 4.7312
Tc Pb W
1 1 2
Direct
0.0000 0.0000 0.0000 Tc
0.5000 0.5000 0.0000 Pb
0.0000 0.5000 0.5000 W
0.5000 0.0000 0.5000 W


# 13
Mg2ZnGa3 (GGA-PBE, optimized geometry); VASP energy = -2.363 eV/atom; symmetry = Fmmm, No. 69; calculated formation energy = -106 meV/atom
1.0
0.0000 4.5485 7.8234
3.1079 0.0000 7.8234
3.1079 4.5485 0.0000
Mg Zn Ga
4 2 6
Direct
0.2500 0.2500 0.2500 Mg
0.2504 0.7496 0.7496 Mg
0.7496 0.2504 0.2504 Mg
0.7500 0.7500 0.7500 Mg
0.1672 0.1672 0.8328 Zn
0.8328 0.8328 0.1672 Zn
0.1625 0.6689 0.3311 Ga
0.3311 0.8375 0.1625 Ga
0.3331 0.3331 0.6669 Ga
0.6669 0.6669 0.3331 Ga
0.6689 0.1625 0.8375 Ga
0.8375 0.3311 0.6689 Ga


# 14
SrTiBe2Fe (GGA-PBE, optimized geometry); VASP energy = -2.389 eV/atom; symmetry = P4/mmm, No. 123; calculated formation energy = 2709 meV/atom
1.0
4.5937 0.0000 0.0000
0.0000 4.5937 0.0000
0.0000 0.0000 4.7121
Sr Ti Be Fe
1 1 2 1
Direct
0.0000 0.0000 0.0000 Sr
0.0000 0.0000 0.5000 Ti
0.0000 0.5000 0.0000 Be
0.5000 0.0000 0.0000 Be
0.5000 0.5000 0.5000 Fe


# 15
Ce4SmTe5 (GGA-PBE, optimized geometry); formation energy without anion corrections = -1.37 eV/atom; VASP energy = -5.786 eV/atom; symmetry = I4/mmm, No. 139
1.0
-2.2414 2.2414 15.8158
2.2414 -2.2414 15.8158
2.2414 2.2414 -15.8158
Ce Sm Te
4 1 5
Direct
0.1000 0.1000 0.0000 Ce
0.3002 0.3002 0.0000 Ce
0.6998 0.6998 0.0000 Ce
0.9000 0.9000 0.0000 Ce
0.5000 0.5000 0.0000 Sm
0.0000 0.0000 0.0000 Te
0.2000 0.2000 0.0000 Te
0.4008 0.4008 0.0000 Te
0.5992 0.5992 0.0000 Te
0.8000 0.8000 0.0000 Te


# 16
LiCaPt2 (GGA-PBE, optimized geometry); VASP energy = -4.533 eV/atom; symmetry = Cm, No. 8; calculated formation energy = -534 meV/atom
1.0
5.2455 -1.4755 0.0000
5.2455 1.4755 0.0000
-1.5259 0.0000 4.7103
Li Ca Pt
1 1 2
Direct
0.0000 0.0000 0.0000 Li
0.7987 0.7987 0.3831 Ca
0.2582 0.2582 0.8682 Pt
0.5483 0.5483 0.5079 Pt


# 17
Ba2TeAs (GGA-PBE, optimized geometry); formation energy without anion corrections = -1.23 eV/atom; VASP energy = -4.142 eV/atom; symmetry = P4/mmm, No. 123
1.0
4.9020 0.0000 0.0000
0.0000 4.9020 0.0000
0.0000 0.0000 6.9249
Ba Te As
2 1 1
Direct
0.0000 0.0000 0.0000 Ba
0.5000 0.5000 0.5000 Ba
0.0000 0.0000 0.5000 Te
0.5000 0.5000 0.0000 As


# 18
Li3Ac2NdSe6 (GGA-PBE, optimized geometry); formation energy without anion corrections = -1.70 eV/atom; VASP energy = -5.006 eV/atom; symmetry = C2/m, No. 12
1.0
9.1157 -2.1642 0.0000
9.1157 2.1642 0.0000
-0.0765 0.0000 7.9144
Li Ac Nd Se
3 2 1 6
Direct
0.0000 0.0000 0.0000 Li
0.3780 0.3780 0.7783 Li
0.6220 0.6220 0.2217 Li
0.3069 0.3069 0.2438 Ac
0.6931 0.6931 0.7562 Ac
0.0000 0.0000 0.5000 Nd
0.1589 0.1589 0.0254 Se
0.1620 0.1620 0.4753 Se
0.4836 0.4836 0.2448 Se
0.5164 0.5164 0.7552 Se
0.8380 0.8380 0.5247 Se
0.8411 0.8411 0.9746 Se


# 19
Si2Sb2As (GGA-PBE, optimized geometry); formation energy without anion corrections = 0.36 eV/atom; VASP energy = -4.386 eV/atom; symmetry = I4/mmm, No. 139
1.0
-1.8006 1.8006 8.2796
1.8006 -1.8006 8.2796
1.8006 1.8006 -8.2796
Si Sb As
2 2 1
Direct
0.2500 0.7500 0.5000 Si
0.7500 0.2500 0.5000 Si
0.1021 0.1021 0.0000 Sb
0.8979 0.8979 0.0000 Sb
0.5000 0.5000 0.0000 As